The following is a DFT calculation (PBE) of crystalline ZrRuC3 at its relaxed geometry.

Structure (POSCAR):
```
ZrRuC3
1.0
4.188 0.000 0.000
0.000 4.188 0.000
0.000 0.000 4.188
Zr Ru C
1 1 3
Cartesian
0.000 0.000 0.000
2.094 2.094 2.094
0.000 0.000 2.094
0.000 2.094 0.000
2.094 0.000 0.000
```

Values from the calculation:
Formation energy from the elements ... 2.649 eV/atom
M_tot ... 0.00 Bohr magnetons per cell